(w)
{"formula": "PmPr3Ho3", "functional": "PBE", "state": "optimized geometry", "vol_a3_per_atom": 34.04, "sg": "P6_3/m, No. 176", "lattice_angstrom": [[9.7209, 0.0000, 0.0000], [-4.8605, 8.4186, 0.0000], [0.0000, 0.0000, 5.8231]], "species": ["Pm", "Pm", "Pr", "Pr", "Pr", "Pr", "Pr", "Pr", "Ho", "Ho", "Ho", "Ho", "Ho", "Ho"], "fractional_positions": [[0.3333, 0.6667, 0.2500], [0.6667, 0.3333, 0.7500], [0.0957, 0.4734, 0.7500], [0.3777, 0.9043, 0.7500], [0.4734, 0.3777, 0.2500], [0.5266, 0.6223, 0.7500], [0.6223, 0.0957, 0.2500], [0.9043, 0.5266, 0.2500], [0.0456, 0.2319, 0.2500], [0.1863, 0.9544, 0.2500], [0.2319, 0.1863, 0.7500], [0.7681, 0.8137, 0.2500], [0.8137, 0.0456, 0.7500], [0.9544, 0.7681, 0.7500]]}



(x)
{"formula": "PmPr3Ho3", "functional": "PBE", "state": "optimized geometry", "vol_a3_per_atom": 34.57, "sg": "R-3, No. 148", "lattice_angstrom": [[4.7226, 2.7266, 6.2636], [-4.7226, 2.7266, 6.2636], [0.0000, -5.4532, 6.2636]], "species": ["Pm", "Pm", "Pr", "Pr", "Pr", "Pr", "Pr", "Pr", "Ho", "Ho", "Ho", "Ho", "Ho", "Ho"], "fractional_positions": [[0.0913, 0.0913, 0.0913], [0.9087, 0.9087, 0.9087], [0.2309, 0.3729, 0.6647], [0.3353, 0.7691, 0.6271], [0.3729, 0.6647, 0.2309], [0.6271, 0.3353, 0.7691], [0.6647, 0.2309, 0.3729], [0.7691, 0.6271, 0.3353], [0.0534, 0.1909, 0.4758], [0.1909, 0.4758, 0.0534], [0.4758, 0.0534, 0.1909], [0.5242, 0.9466, 0.8091], [0.8091, 0.5242, 0.9466], [0.9466, 0.8091, 0.5242]]}



Which structure is most stable? (w), by 0.099 eV/atom over the runner-up.



(w)
{"formula": "Pm4Pr4Ho3", "functional": "PBE", "state": "optimized geometry", "vol_a3_per_atom": 35.07, "sg": "Immm, No. 71", "lattice_angstrom": [[-1.8363, 4.7970, 10.9474], [1.8363, -4.7970, 10.9474], [1.8363, 4.7970, -10.9474]], "species": ["Pm", "Pm", "Pm", "Pm", "Pr", "Pr", "Pr", "Pr", "Ho", "Ho", "Ho"], "fractional_positions": [[0.1851, 0.0000, 0.1851], [0.2375, 0.2375, 0.0000], [0.7625, 0.7625, 0.0000], [0.8149, 0.0000, 0.8149], [0.1812, 0.8566, 0.3246], [0.4680, 0.1434, 0.3246], [0.5320, 0.8566, 0.6754], [0.8188, 0.1434, 0.6754], [0.1058, 0.6058, 0.5000], [0.5000, 0.5000, 0.0000], [0.8942, 0.3942, 0.5000]]}



(x)
{"formula": "Pm4Pr4Ho3", "functional": "PBE", "state": "optimized geometry", "vol_a3_per_atom": 34.03, "sg": "P-1, No. 2", "lattice_angstrom": [[3.5813, 0.0000, 0.0000], [0.0005, 5.7467, 0.0000], [1.7893, 2.8457, 18.1877]], "species": ["Pm", "Pm", "Pm", "Pm", "Pr", "Pr", "Pr", "Pr", "Ho", "Ho", "Ho"], "fractional_positions": [[0.0904, 0.0919, 0.3191], [0.2327, 0.7327, 0.0348], [0.7673, 0.2673, 0.9652], [0.9096, 0.9081, 0.6809], [0.0460, 0.5480, 0.4078], [0.1798, 0.1802, 0.1403], [0.8202, 0.8198, 0.8597], [0.9540, 0.4520, 0.5922], [0.3642, 0.3634, 0.7720], [0.5000, 0.0000, 0.5000], [0.6358, 0.6366, 0.2280]]}



Which structure is most stable? (x), by 0.065 eV/atom over the runner-up.



(w)
{"formula": "PmPr7Ho2", "functional": "PBE", "state": "optimized geometry", "vol_a3_per_atom": 36.14, "sg": "P2/m, No. 10", "lattice_angstrom": [[8.6570, 0.0000, 0.0000], [0.0000, 3.5168, 0.0000], [-0.0620, 0.0000, 11.8712]], "species": ["Pm", "Pr", "Pr", "Pr", "Pr", "Pr", "Pr", "Pr", "Ho", "Ho"], "fractional_positions": [[0.0000, 0.0000, 0.0000], [0.1963, 0.5000, 0.7862], [0.2000, 0.5000, 0.2120], [0.4984, 0.0000, 0.6522], [0.5000, 0.5000, 0.0000], [0.5016, 0.0000, 0.3478], [0.8000, 0.5000, 0.7880], [0.8037, 0.5000, 0.2138], [0.1998, 0.5000, 0.4983], [0.8002, 0.5000, 0.5017]]}



(x)
{"formula": "PmPr7Ho2", "functional": "PBE", "state": "optimized geometry", "vol_a3_per_atom": 42.55, "sg": "Cmmm, No. 65", "lattice_angstrom": [[4.5069, -8.1775, 0.0000], [4.5069, 8.1775, 0.0000], [0.0000, 0.0000, 5.7725]], "species": ["Pm", "Pr", "Pr", "Pr", "Pr", "Pr", "Pr", "Pr", "Ho", "Ho"], "fractional_positions": [[0.0000, 0.0000, 0.0000], [0.0645, 0.2956, 0.5000], [0.2279, 0.7721, 0.0000], [0.2956, 0.0645, 0.5000], [0.5000, 0.5000, 0.5000], [0.7044, 0.9355, 0.5000], [0.7721, 0.2279, 0.0000], [0.9355, 0.7044, 0.5000], [0.2958, 0.7042, 0.5000], [0.7042, 0.2958, 0.5000]]}



Which structure is most stable? (w), by 0.396 eV/atom over the runner-up.



(w)
{"formula": "PmPr6Ho3", "functional": "PBE", "state": "optimized geometry", "vol_a3_per_atom": 34.58, "sg": "Cmc2_1, No. 36", "lattice_angstrom": [[5.5295, -9.7147, 0.0000], [5.5295, 9.7147, 0.0000], [0.0000, 0.0000, 6.4369]], "species": ["Pm", "Pm", "Pr", "Pr", "Pr", "Pr", "Pr", "Pr", "Pr", "Pr", "Pr", "Pr", "Pr", "Pr", "Ho", "Ho", "Ho", "Ho", "Ho", "Ho"], "fractional_positions": [[0.1932, 0.8068, 0.5000], [0.8068, 0.1932, 0.0000], [0.0351, 0.9649, 0.2594], [0.0587, 0.4758, 0.7615], [0.2816, 0.7184, 0.0428], [0.2910, 0.3705, 0.9415], [0.3705, 0.2910, 0.4415], [0.4758, 0.0587, 0.2615], [0.5242, 0.9413, 0.7615], [0.6295, 0.7090, 0.9415], [0.7090, 0.6295, 0.4415], [0.7184, 0.2816, 0.5428], [0.9413, 0.5242, 0.2615], [0.9649, 0.0351, 0.7594], [0.0570, 0.2896, 0.3535], [0.2896, 0.0570, 0.8535], [0.3836, 0.6164, 0.4803], [0.6164, 0.3836, 0.9803], [0.7104, 0.9430, 0.3535], [0.9430, 0.7104, 0.8535]]}



(x)
{"formula": "PmPr6Ho3", "functional": "PBE", "state": "optimized geometry", "vol_a3_per_atom": 35.77, "sg": "P2_1/c, No. 14", "lattice_angstrom": [[5.6133, 0.0000, 0.0000], [0.0000, 10.3489, 0.0000], [-2.5274, 0.0000, 12.3148]], "species": ["Pm", "Pm", "Pr", "Pr", "Pr", "Pr", "Pr", "Pr", "Pr", "Pr", "Pr", "Pr", "Pr", "Pr", "Ho", "Ho", "Ho", "Ho", "Ho", "Ho"], "fractional_positions": [[0.0000, 0.0000, 0.0000], [0.0000, 0.5000, 0.5000], [0.0053, 0.1826, 0.5028], [0.0053, 0.3174, 0.0028], [0.1102, 0.0024, 0.2685], [0.1102, 0.4976, 0.7685], [0.4175, 0.1730, 0.8526], [0.4175, 0.3270, 0.3526], [0.5825, 0.6730, 0.6474], [0.5825, 0.8270, 0.1474], [0.8898, 0.5024, 0.2315], [0.8898, 0.9976, 0.7315], [0.9947, 0.6826, 0.9972], [0.9947, 0.8174, 0.4972], [0.4183, 0.6697, 0.3648], [0.4183, 0.8303, 0.8648], [0.5000, 0.0000, 0.5000], [0.5000, 0.5000, 0.0000], [0.5817, 0.1697, 0.1352], [0.5817, 0.3303, 0.6352]]}



Which structure is most stable? (w), by 0.077 eV/atom over the runner-up.



(w)
{"formula": "Pm2Pr3Ho3", "functional": "PBE", "state": "optimized geometry", "vol_a3_per_atom": 33.71, "sg": "Immm, No. 71", "lattice_angstrom": [[-2.5543, 2.5705, 10.2675], [2.5543, -2.5705, 10.2675], [2.5543, 2.5705, -10.2675]], "species": ["Pm", "Pm", "Pr", "Pr", "Pr", "Ho", "Ho", "Ho"], "fractional_positions": [[0.2494, 0.2494, 0.0000], [0.7506, 0.7506, 0.0000], [0.0000, 0.0000, 0.0000], [0.3762, 0.8762, 0.5000], [0.6238, 0.1238, 0.5000], [0.1251, 0.6251, 0.5000], [0.5000, 0.5000, 0.0000], [0.8749, 0.3749, 0.5000]]}



(x)
{"formula": "Pm2Pr3Ho3", "functional": "PBE", "state": "optimized geometry", "vol_a3_per_atom": 33.82, "sg": "Immm, No. 71", "lattice_angstrom": [[-3.0174, 3.0265, 7.4068], [3.0174, -3.0265, 7.4068], [3.0174, 3.0265, -7.4068]], "species": ["Pm", "Pm", "Pr", "Pr", "Pr", "Ho", "Ho", "Ho"], "fractional_positions": [[0.2468, 0.2468, 0.0000], [0.7532, 0.7532, 0.0000], [0.1283, 0.6283, 0.5000], [0.5000, 0.5000, 0.0000], [0.8717, 0.3717, 0.5000], [0.0000, 0.0000, 0.0000], [0.3768, 0.8768, 0.5000], [0.6232, 0.1232, 0.5000]]}



Which structure is most stable? (w), by 0.099 eV/atom over the runner-up.



(w)
{"formula": "Pm6Pr12Ho", "functional": "PBE", "state": "optimized geometry", "vol_a3_per_atom": 36.49, "sg": "R-3m, No. 166", "lattice_angstrom": [[6.7366, 3.8894, 4.4100], [-6.7366, 3.8894, 4.4100], [0.0000, -7.7787, 4.4100]], "species": ["Pm", "Pm", "Pm", "Pm", "Pm", "Pm", "Pr", "Pr", "Pr", "Pr", "Pr", "Pr", "Pr", "Pr", "Pr", "Pr", "Pr", "Pr", "Ho"], "fractional_positions": [[0.0940, 0.3615, 0.3615], [0.3615, 0.0940, 0.3615], [0.3615, 0.3615, 0.0940], [0.6385, 0.6385, 0.9060], [0.6385, 0.9060, 0.6385], [0.9060, 0.6385, 0.6385], [0.0832, 0.0832, 0.6699], [0.0832, 0.6699, 0.0832], [0.2377, 0.5000, 0.7623], [0.2377, 0.7623, 0.5000], [0.3301, 0.9168, 0.9168], [0.5000, 0.2377, 0.7623], [0.5000, 0.7623, 0.2377], [0.6699, 0.0832, 0.0832], [0.7623, 0.2377, 0.5000], [0.7623, 0.5000, 0.2377], [0.9168, 0.3301, 0.9168], [0.9168, 0.9168, 0.3301], [0.5000, 0.5000, 0.5000]]}



(x)
{"formula": "Pm6Pr12Ho", "functional": "PBE", "state": "optimized geometry", "vol_a3_per_atom": 35.92, "sg": "R-3, No. 148", "lattice_angstrom": [[6.1794, 3.5677, 5.1602], [-6.1794, 3.5677, 5.1602], [0.0000, -7.1353, 5.1602]], "species": ["Pm", "Pm", "Pm", "Pm", "Pm", "Pm", "Pr", "Pr", "Pr", "Pr", "Pr", "Pr", "Pr", "Pr", "Pr", "Pr", "Pr", "Pr", "Ho"], "fractional_positions": [[0.2012, 0.5963, 0.7611], [0.2389, 0.7988, 0.4037], [0.4037, 0.2389, 0.7988], [0.5963, 0.7611, 0.2012], [0.7611, 0.2012, 0.5963], [0.7988, 0.4037, 0.2389], [0.0357, 0.2810, 0.9339], [0.0661, 0.9643, 0.7190], [0.1392, 0.3082, 0.4824], [0.2810, 0.9339, 0.0357], [0.3082, 0.4824, 0.1392], [0.4824, 0.1392, 0.3082], [0.5176, 0.8608, 0.6918], [0.6918, 0.5176, 0.8608], [0.7190, 0.0661, 0.9643], [0.8608, 0.6918, 0.5176], [0.9339, 0.0357, 0.2810], [0.9643, 0.7190, 0.0661], [0.5000, 0.5000, 0.5000]]}



Which structure is most stable? (w), by 0.005 eV/atom over the runner-up.



(w)
{"formula": "Pm2Pr8Ho3", "functional": "PBE", "state": "optimized geometry", "vol_a3_per_atom": 35.74, "sg": "Cmmm, No. 65", "lattice_angstrom": [[3.8783, -10.3865, 0.0000], [3.8783, 10.3865, 0.0000], [0.0000, 0.0000, 5.7672]], "species": ["Pm", "Pm", "Pr", "Pr", "Pr", "Pr", "Pr", "Pr", "Pr", "Pr", "Ho", "Ho", "Ho"], "fractional_positions": [[0.2397, 0.7603, 0.0000], [0.7603, 0.2397, 0.0000], [0.1298, 0.8702, 0.5000], [0.1921, 0.3999, 0.0000], [0.3278, 0.6722, 0.5000], [0.3999, 0.1921, 0.0000], [0.6001, 0.8079, 0.0000], [0.6722, 0.3278, 0.5000], [0.8079, 0.6001, 0.0000], [0.8702, 0.1298, 0.5000], [0.0000, 0.0000, 0.0000], [0.2846, 0.2846, 0.5000], [0.7154, 0.7154, 0.5000]]}



(x)
{"formula": "Pm2Pr8Ho3", "functional": "PBE", "state": "optimized geometry", "vol_a3_per_atom": 35.10, "sg": "C2/m, No. 12", "lattice_angstrom": [[6.7758, -5.9430, 0.0000], [6.7758, 5.9430, 0.0000], [-2.4870, 0.0000, 5.6653]], "species": ["Pm", "Pm", "Pr", "Pr", "Pr", "Pr", "Pr", "Pr", "Pr", "Pr", "Ho", "Ho", "Ho"], "fractional_positions": [[0.1895, 0.1895, 0.3381], [0.8105, 0.8105, 0.6619], [0.0849, 0.0849, 0.7598], [0.0994, 0.5769, 0.3442], [0.3615, 0.3615, 0.8943], [0.4231, 0.9006, 0.6558], [0.5769, 0.0994, 0.3442], [0.6385, 0.6385, 0.1057], [0.9006, 0.4231, 0.6558], [0.9151, 0.9151, 0.2402], [0.2339, 0.7661, 0.0000], [0.5000, 0.5000, 0.5000], [0.7661, 0.2339, 0.0000]]}



Which structure is most stable? (x), by 0.038 eV/atom over the runner-up.



(w)
{"formula": "Pm5Pr3Ho3", "functional": "PBE", "state": "optimized geometry", "vol_a3_per_atom": 42.08, "sg": "P-62m, No. 189", "lattice_angstrom": [[9.7579, 0.0000, 0.0000], [-4.8790, 8.4506, 0.0000], [0.0000, 0.0000, 5.6128]], "species": ["Pm", "Pm", "Pm", "Pm", "Pm", "Pr", "Pr", "Pr", "Ho", "Ho", "Ho"], "fractional_positions": [[0.0000, 0.7303, 0.0000], [0.2697, 0.2697, 0.0000], [0.3333, 0.6667, 0.0000], [0.6667, 0.3333, 0.0000], [0.7303, 0.0000, 0.0000], [0.0000, 0.5781, 0.5000], [0.4219, 0.4219, 0.5000], [0.5781, 0.0000, 0.5000], [0.0000, 0.3686, 0.0000], [0.3686, 0.0000, 0.0000], [0.6314, 0.6314, 0.0000]]}



(x)
{"formula": "Pm5Pr3Ho3", "functional": "PBE", "state": "optimized geometry", "vol_a3_per_atom": 35.48, "sg": "P-62m, No. 189", "lattice_angstrom": [[11.3994, 0.0000, 0.0000], [-5.6997, 9.8722, 0.0000], [0.0000, 0.0000, 3.4681]], "species": ["Pm", "Pm", "Pm", "Pm", "Pm", "Pr", "Pr", "Pr", "Ho", "Ho", "Ho"], "fractional_positions": [[0.0000, 0.6633, 0.0000], [0.3333, 0.6667, 0.0000], [0.3367, 0.3367, 0.0000], [0.6633, 0.0000, 0.0000], [0.6667, 0.3333, 0.0000], [0.0000, 0.4027, 0.5000], [0.4027, 0.0000, 0.5000], [0.5973, 0.5973, 0.5000], [0.0000, 0.1584, 0.0000], [0.1584, 0.0000, 0.0000], [0.8416, 0.8416, 0.0000]]}



Which structure is most stable? (x), by 0.404 eV/atom over the runner-up.